Computed, not measured: NiPdPtPb after structural relaxation at the PBE level of DFT.

## Properties
electronic total energy = -5.178 eV/atom
density of states at the Fermi level = 8.1 states/eV/cell

Geometry as CIF:
```
data_NiPdPtPb
_cell_length_a 6.4259
_cell_length_b 6.4259
_cell_length_c 6.4259
_cell_angle_alpha 90.00
_cell_angle_beta 90.00
_cell_angle_gamma 90.00
_symmetry_space_group_name_H-M 'F -4 3 m'
_symmetry_Int_Tables_number 216
_symmetry_space_group_name_Hall 'F -4 2 3'
loop_
_atom_site_label
_atom_site_type_symbol
_atom_site_fract_x
_atom_site_fract_y
_atom_site_fract_z
Ni1 Ni 0.0000 0.0000 0.0000
Pd1 Pd 0.2500 0.2500 0.7500
Pt1 Pt 0.2500 0.2500 0.2500
Pb1 Pb 0.0000 0.0000 0.5000
```